<w>
First-principles (GGA-PBE) data for crystalline Er2Tm3Hg3 at its relaxed geometry, as listed in OQMD via LeMat-Bulk.

Cell and atoms, written as POSCAR:
```
Er2Tm3Hg3
1.0
-0.0798 6.7448 -1.3317
-5.8671 -3.5843 -0.0531
-0.6462 0.9833 5.0189
Er Hg Tm
2 3 3
direct
0.3333 0.6667 0.0000
0.0000 0.0000 0.5000
0.5026 0.0052 0.5000
0.5026 0.4974 0.5000
0.9948 0.4974 0.5000
0.3388 0.1694 0.0000
0.8306 0.1694 0.0000
0.8306 0.6612 0.0000
```

Size of the total moment = 0.24 μB/f.u.



<x>
First-principles (GGA-PBE) data for crystalline Er2Tm3Hg3 at its relaxed geometry, as listed in OQMD via LeMat-Bulk.

Cell and atoms, written as POSCAR:
```
Er2Tm3Hg3
1.0
6.5353 0.0000 0.0000
0.0000 5.1623 0.0000
-2.2427 0.0000 6.1521
Er Hg Tm
2 3 3
direct
0.6845 0.0000 0.3919
0.3377 0.5000 0.6260
0.1816 0.0000 0.3455
0.8459 0.5000 0.6246
0.5889 0.0000 0.8967
0.8711 0.5000 0.1052
0.3882 0.5000 0.1527
0.1021 0.0000 0.8575
```

Size of the total moment = 0.04 μB/f.u.



Relative energy of each structure, in meV/atom: <w> 132; <x> 0.



<w>
First-principles (GGA-PBE) data for crystalline YErHg2 at its relaxed geometry, as listed in OQMD via LeMat-Bulk.

Cell and atoms, written as POSCAR:
```
YErHg2
1.0
3.6149 -5.2806 0.0000
3.6149 5.2806 0.0000
0.0000 0.0000 5.2586
Er Hg Y
2 4 2
direct
0.1254 0.8746 0.2500
0.8746 0.1254 0.7500
0.1230 0.3706 0.2500
0.6294 0.8770 0.2500
0.3706 0.1230 0.7500
0.8770 0.6294 0.7500
0.6268 0.3732 0.2500
0.3732 0.6268 0.7500
```

Size of the total moment = 0.01 μB/f.u.



<x>
First-principles (GGA-PBE) data for crystalline YErHg2 at its relaxed geometry, as listed in OQMD via LeMat-Bulk.

Cell and atoms, written as POSCAR:
```
YErHg2
1.0
5.4434 0.0000 0.0000
0.0000 6.0127 3.1622
0.0000 -6.0127 3.1622
Er Hg Y
2 4 2
direct
0.7500 0.6910 0.3833
0.2500 0.3833 0.6910
0.2500 0.8465 0.2038
0.2500 0.8079 0.6430
0.7500 0.6430 0.8079
0.7500 0.2038 0.8465
0.2500 0.2942 0.1304
0.7500 0.1304 0.2942
```

Size of the total moment = 0.00 μB/f.u.



Relative energy of each structure, in meV/atom: <w> 0; <x> 209.



<w>
First-principles (GGA-PBE) data for crystalline Y3Er2Hg3 at its relaxed geometry, as listed in OQMD via LeMat-Bulk.

Cell and atoms, written as POSCAR:
```
Y3Er2Hg3
1.0
-5.8189 -3.6358 -1.0944
2.4170 0.8258 6.4616
-2.7993 4.3315 0.4935
Er Hg Y
2 3 3
direct
0.0000 0.0000 0.0000
0.6667 0.3333 0.5000
0.0030 0.5015 0.0000
0.4985 0.5015 0.0000
0.4985 0.9970 0.0000
0.1695 0.3391 0.5000
0.1695 0.8305 0.5000
0.6609 0.8305 0.5000
```

Size of the total moment = 1.35 μB/f.u.



<x>
First-principles (GGA-PBE) data for crystalline Y3Er2Hg3 at its relaxed geometry, as listed in OQMD via LeMat-Bulk.

Cell and atoms, written as POSCAR:
```
Y3Er2Hg3
1.0
5.5696 0.0000 0.0000
0.0000 3.7015 5.3002
0.0000 -3.7015 5.3002
Er Hg Y
2 3 3
direct
0.0000 0.3008 0.3008
0.5000 0.6681 0.6681
0.5000 0.1705 0.1705
0.0000 0.7863 0.3713
0.0000 0.3713 0.7863
0.5000 0.6767 0.1688
0.5000 0.1688 0.6767
0.0000 0.8575 0.8575
```

Size of the total moment = 0.16 μB/f.u.



Relative energy of each structure, in meV/atom: <w> 45; <x> 0.



<w>
First-principles (GGA-PBE) data for crystalline HoErIn at its relaxed geometry, as listed in OQMD via LeMat-Bulk.

Cell and atoms, written as POSCAR:
```
HoErIn
1.0
4.9012 -0.3271 1.5160
2.3671 4.1242 1.9531
1.1589 0.1682 5.0055
Er Ho In
1 1 1
direct
0.2500 0.2500 0.2500
0.7500 0.7500 0.7500
0.0000 0.0000 0.0000
```

Size of the total moment = 0.02 μB/f.u.



<x>
First-principles (GGA-PBE) data for crystalline HoErIn at its relaxed geometry, as listed in OQMD via LeMat-Bulk.

Cell and atoms, written as POSCAR:
```
HoErIn
1.0
5.3484 0.0000 0.0000
-2.6742 4.6319 0.0000
0.0000 0.0000 6.6728
Er Ho In
2 2 2
direct
0.0000 0.0000 0.0000
0.0000 0.0000 0.5000
0.6667 0.3333 0.2500
0.3333 0.6667 0.7500
0.3333 0.6667 0.2500
0.6667 0.3333 0.7500
```

Size of the total moment = 0.29 μB/f.u.



Relative energy of each structure, in meV/atom: <w> 263; <x> 0.



<w>
First-principles (GGA-PBE) data for crystalline HoErMg at its relaxed geometry, as listed in OQMD via LeMat-Bulk.

Cell and atoms, written as POSCAR:
```
HoErMg
1.0
-1.0606 4.1931 3.2730
-0.9400 -5.4959 6.7362
2.6059 -4.7166 6.8869
Er Ho Mg
2 2 2
direct
0.5000 0.0937 0.0937
0.0000 0.9062 0.9062
0.0000 0.2265 0.2265
0.5000 0.7736 0.7736
0.5000 0.4348 0.4348
0.0000 0.5651 0.5651
```

Size of the total moment = 0.00 μB/f.u.



<x>
First-principles (GGA-PBE) data for crystalline HoErMg at its relaxed geometry, as listed in OQMD via LeMat-Bulk.

Cell and atoms, written as POSCAR:
```
HoErMg
1.0
-2.6033 -1.5488 4.2230
0.0868 2.8969 4.3140
-4.2703 2.5532 1.5019
Er Ho Mg
1 1 1
direct
0.2500 0.2500 0.2500
0.7500 0.7500 0.7500
0.0000 0.0000 0.0000
```

Size of the total moment = 0.07 μB/f.u.



Relative energy of each structure, in meV/atom: <w> 0; <x> 490.



<w>
First-principles (GGA-PBE) data for crystalline HoErMg2 at its relaxed geometry, as listed in OQMD via LeMat-Bulk.

Cell and atoms, written as POSCAR:
```
HoErMg2
1.0
-3.0988 4.3983 -0.7581
0.6080 1.5739 6.6457
4.4546 2.3352 -4.6601
Er Ho Mg
2 2 4
direct
0.7500 0.6734 0.3406
0.2500 0.3406 0.6734
0.2500 0.3183 0.1599
0.7500 0.1599 0.3183
0.2500 0.8329 0.1777
0.2500 0.8313 0.6659
0.7500 0.6659 0.8313
0.7500 0.1777 0.8329
```

Size of the total moment = 0.06 μB/f.u.



<x>
First-principles (GGA-PBE) data for crystalline HoErMg2 at its relaxed geometry, as listed in OQMD via LeMat-Bulk.

Cell and atoms, written as POSCAR:
```
HoErMg2
1.0
-3.7253 4.6823 -2.5758
3.6882 -2.6901 -4.6473
-3.8356 -3.5847 -0.9690
Er Ho Mg
2 2 4
direct
0.3741 0.6259 0.2500
0.6259 0.3741 0.7500
0.8725 0.1275 0.2500
0.1275 0.8725 0.7500
0.3727 0.1271 0.2500
0.8729 0.6273 0.2500
0.1271 0.3727 0.7500
0.6273 0.8729 0.7500
```

Size of the total moment = 0.13 μB/f.u.



Relative energy of each structure, in meV/atom: <w> 81; <x> 0.